Model i:
The following is a PBE calculation of crystalline Tl3Cd3In at its relaxed geometry, from the Alexandria database.

space group = No. 176

abc: 5.214 9.271 9.271
angles: 120.00 90.00 90.00
Element x y z (fractional)
Cd1 0.250 0.548 0.100
Cd2 0.750 0.448 0.548
Cd3 0.250 0.900 0.448
Cd4 0.750 0.452 0.900
Cd5 0.750 0.100 0.552
Cd6 0.250 0.552 0.452
Tl1 0.250 0.130 0.866
Tl2 0.250 0.134 0.264
Tl3 0.250 0.736 0.870
Tl4 0.750 0.866 0.736
Tl5 0.750 0.264 0.130
Tl6 0.750 0.870 0.134
In1 0.250 0.333 0.667
In2 0.750 0.667 0.333

Model ii:
The following is a PBE calculation of crystalline Tl3Cd3In at its relaxed geometry, from the Alexandria database.

space group = No. 223

abc: 8.211 8.211 8.211
angles: 90.00 90.00 90.00
Element x y z (fractional)
Tl1 0.750 0.500 0.000
Tl2 0.000 0.750 0.500
Tl3 0.250 0.500 0.000
Tl4 0.500 0.000 0.250
Tl5 0.000 0.250 0.500
Tl6 0.500 0.000 0.750
Cd1 0.250 0.000 0.500
Cd2 0.000 0.500 0.250
Cd3 0.750 0.000 0.500
Cd4 0.000 0.500 0.750
Cd5 0.500 0.750 0.000
Cd6 0.500 0.250 0.000
In1 0.000 0.000 0.000
In2 0.500 0.500 0.500

Of them, model i has the highest stability.

Model i:
The following is a PBE calculation of crystalline Tl4Cd2In at its relaxed geometry, from the Alexandria database.

space group = No. 166

abc: 3.446 3.446 19.263
angles: 84.87 84.87 60.00
Element x y z (fractional)
Tl1 0.100 0.100 0.700
Tl2 0.618 0.618 0.145
Tl3 0.382 0.382 0.855
Tl4 0.900 0.900 0.300
Cd1 0.187 0.187 0.438
Cd2 0.813 0.813 0.562
In1 0.000 0.000 0.000

Model ii:
The following is a PBE calculation of crystalline Tl4Cd2In at its relaxed geometry, from the Alexandria database.

space group = No. 139

abc: 5.859 5.859 8.590
angles: 109.94 109.94 90.00
Element x y z (fractional)
Tl1 0.201 0.201 0.401
Tl2 0.500 0.000 0.000
Tl3 0.000 0.500 0.000
Tl4 0.799 0.799 0.599
In1 0.000 0.000 0.000
Cd1 0.398 0.398 0.796
Cd2 0.602 0.602 0.204

Of them, model i has the highest stability.